This record from Alexandria describes an optimized crystal structure of PrHoAl2Au4. The functional is PBE.

The structure belongs to space group R-3m (No. 166, hexagonal axes); the cell edges are 4.5917, 4.5917 and 27.7797 Å and the angles 90.00°, 90.00° and 120.00°. The asymmetric unit holds Pr at (0.0000, 0.0000, 0.0000), Ho at (0.0000, 0.0000, 0.5000), Al at (0.0000, 0.0000, 0.2437), Au at (0.0000, 0.0000, 0.1159) and Au at (0.0000, 0.0000, 0.3934).

As for the energy relative to the elements: -0.69 eV/atom. For the volume, the calculation gives 21.13 A^3/atom. For the density of states at the Fermi level, the calculation gives 14.4 states/eV/cell. The raw total energy comes out at -106.52 eV for the cell shown.


This record from Alexandria describes an optimized crystal structure of RbBa. The functional is PBE.

The structure belongs to space group P2_1/m (No. 11); the cell edges are 4.502, 4.496 and 14.759 Å and the angles 90.00°, 90.05° and 90.00°. The asymmetric unit holds Rb at (0.249, 0.250, 0.364) and Ba at (0.250, 0.250, 0.889).

As for the energy relative to the elements: 0.08 eV/atom. For the volume, the calculation gives 74.67 A^3/atom. For the density of states at the Fermi level, the calculation gives 5.7 states/eV/cell. The raw total energy comes out at -5.46 eV for the cell shown.


This record from Alexandria describes an optimized crystal structure of PS. The functional is PBE.

The structure belongs to space group P6_3/m (No. 176); the cell edges are 11.5419, 11.5419 and 3.0592 Å and the angles 90.00°, 90.00° and 120.00°. The asymmetric unit holds P at (0.0183, 0.4139, 0.2500) and S at (0.0801, 0.7309, 0.2500).

The value obtained for the uncorrected formation energy is 0.143 eV/atom. For the volume, the calculation gives 29.41 A^3/atom. For the density of states at the Fermi level, the calculation gives 3.6 states/eV/cell. The raw total energy comes out at -55.50 eV for the cell shown.


This record from Alexandria describes an optimized crystal structure of ZrSc2Br. The functional is PBE.

The structure belongs to space group P4mm (No. 99); the cell edges are 3.250, 3.250 and 8.965 Å and the angles 90.00°, 90.00° and 90.00°. The asymmetric unit holds Zr at (0.000, 0.000, 0.000), Sc at (0.000, 0.000, 0.492), Sc at (0.500, 0.500, 0.763) and Br at (0.500, 0.500, 0.282).

The value obtained for the uncorrected formation energy is -0.233 eV/atom. For the volume, the calculation gives 23.67 A^3/atom. For the density of states at the Fermi level, the calculation gives 4.1 states/eV/cell. The raw total energy comes out at -23.81 eV for the cell shown.


This record from Alexandria describes an optimized crystal structure of Ca2YPd2. The functional is PBE.

The structure belongs to space group I4/mmm (No. 139); the cell edges are 4.397, 4.397 and 13.081 Å and the angles 90.00°, 90.00° and 90.00°. The asymmetric unit holds Ca at (0.000, 0.500, 0.250), Y at (0.000, 0.000, 0.000) and Pd at (0.000, 0.000, 0.400).

As for the energy relative to the elements: -0.40 eV/atom. For the volume, the calculation gives 25.29 A^3/atom. For the density of states at the Fermi level, the calculation gives 6.3 states/eV/cell. The raw total energy comes out at -45.73 eV for the cell shown.


This record from Alexandria describes an optimized crystal structure of Nd3Ni6As5. The functional is PBE.

The structure belongs to space group Pmmn (No. 59, origin choice 2); the cell edges are 4.015, 12.137 and 9.763 Å and the angles 90.00°, 90.00° and 90.00°. The asymmetric unit holds Nd at (0.250, 0.087, 0.247), Nd at (0.250, 0.750, 0.252), Ni at (0.250, 0.068, 0.889), Ni at (0.250, 0.250, 0.004), Ni at (0.250, 0.250, 0.508), Ni at (0.250, 0.579, 0.495), As at (0.250, 0.081, 0.641), As at (0.250, 0.617, 0.988) and As at (0.250, 0.750, 0.623).

As for the energy relative to the elements: -0.81 eV/atom. For the volume, the calculation gives 16.99 A^3/atom. For the density of states at the Fermi level, the calculation gives 20.4 states/eV/cell. The raw total energy comes out at -167.25 eV for the cell shown.


This record from Alexandria describes an optimized crystal structure of SrSc2Ta. The functional is PBE.

The structure belongs to space group I-42d (No. 122); the cell edges are 4.592, 4.592 and 20.779 Å and the angles 90.00°, 90.00° and 90.00°. The asymmetric unit holds Sr at (0.000, 0.000, 0.000), Sc at (0.207, 0.750, 0.625) and Ta at (0.000, 0.000, 0.500).

As for the energy relative to the elements: 1.05 eV/atom. For the volume, the calculation gives 27.38 A^3/atom. For the density of states at the Fermi level, the calculation gives 26.9 states/eV/cell. The raw total energy comes out at -88.01 eV for the cell shown.


This record from Alexandria describes an optimized crystal structure of Be2FeCo. The functional is PBE.

The structure belongs to space group Amm2 (No. 38); the cell edges are 3.511, 2.488 and 8.357 Å and the angles 90.00°, 90.00° and 90.00°. The asymmetric unit holds Be at (0.000, 0.000, 0.000), Be at (0.500, 0.000, 0.139), Fe at (0.500, 0.000, 0.403) and Co at (0.000, 0.000, 0.732).

As for the energy relative to the elements: -0.18 eV/atom. For the volume, the calculation gives 9.12 A^3/atom. For the density of states at the Fermi level, the calculation gives 5.4 states/eV/cell. The raw total energy comes out at -47.45 eV for the cell shown.


This record from Alexandria describes an optimized crystal structure of ZrBrN. The functional is PBE.

The structure belongs to space group Pmmn (No. 59, origin choice 2); the cell edges are 3.639, 4.171 and 9.587 Å and the angles 90.00°, 90.00° and 90.00°. The asymmetric unit holds Zr at (0.250, 0.250, 0.092), Br at (0.250, 0.750, 0.688) and N at (0.250, 0.750, 0.030).

The value obtained for the uncorrected formation energy is -1.585 eV/atom. For the volume, the calculation gives 24.25 A^3/atom. For the density of states at the Fermi level, the calculation gives 0.0 states/eV/cell. The raw total energy comes out at -46.60 eV for the cell shown.


This record from Alexandria describes an optimized crystal structure of TlMoIN2. The functional is PBE.

The structure belongs to space group P4/mmm (No. 123); the cell edges are 4.279, 4.279 and 6.803 Å and the angles 90.00°, 90.00° and 90.00°. The asymmetric unit holds Tl at (0.000, 0.000, 0.000), Mo at (0.500, 0.500, 0.500), I at (0.000, 0.000, 0.500) and N at (0.000, 0.500, 0.000).

The value obtained for the uncorrected formation energy is 2.306 eV/atom. For the volume, the calculation gives 24.92 A^3/atom. For the density of states at the Fermi level, the calculation gives 3.2 states/eV/cell. The raw total energy comes out at -19.87 eV for the cell shown.


This record from Alexandria describes an optimized crystal structure of BaCe2Tl3. The functional is PBE.

The structure belongs to space group P4/mmm (No. 123); the cell edges are 4.029, 4.029 and 12.091 Å and the angles 90.00°, 90.00° and 90.00°. The asymmetric unit holds Ba at (0.000, 0.000, 0.000), Ce at (0.000, 0.000, 0.350), Tl at (0.500, 0.500, 0.197) and Tl at (0.500, 0.500, 0.500).

As for the energy relative to the elements: -0.26 eV/atom. For the volume, the calculation gives 32.72 A^3/atom. For the density of states at the Fermi level, the calculation gives 16.7 states/eV/cell. The raw total energy comes out at -22.43 eV for the cell shown.


This record from Alexandria describes an optimized crystal structure of K2MoCl7. The functional is PBE.

The structure belongs to space group C2/c (No. 15); the cell edges are 16.907, 7.905 and 11.627 Å and the angles 90.00°, 130.13° and 90.00°. The asymmetric unit holds K at (0.125, 0.155, 0.036), Mo at (0.000, 0.291, 0.250), Cl at (0.000, 0.396, 0.750), Cl at (0.092, 0.028, 0.260), Cl at (0.093, 0.284, 0.510) and Cl at (0.157, 0.384, 0.296).

The value obtained for the uncorrected formation energy is -1.184 eV/atom. For the volume, the calculation gives 29.70 A^3/atom. For the density of states at the Fermi level, the calculation gives 24.5 states/eV/cell. The raw total energy comes out at -151.16 eV for the cell shown.


Which of these has the highest raw total energy? RbBa


What is the formula in the eleventh record? BaCe2Tl3